Record 1
This record from Alexandria describes a relaxed structure of TlP2Pt. The functional is PBEsol.

Geometry as CIF:
```
data_TlP2Pt
_chemical_formula_sum 'Tl2 P4 Pt2'
_symmetry_space_group_name_H-M 'I 4/m m m'
_symmetry_Int_Tables_number 139
_symmetry_space_group_name_Hall '-I 4 2'
_cell_length_a 4.4839
_cell_length_b 4.4839
_cell_length_c 6.7992
_cell_angle_alpha 90.00
_cell_angle_beta 90.00
_cell_angle_gamma 90.00
loop_
_atom_site_label
_atom_site_type_symbol
_atom_site_fract_x
_atom_site_fract_y
_atom_site_fract_z
_atom_site_occupancy
Tl1 Tl 0.0000 0.0000 0.0000 1
P1 P 0.0000 0.5000 0.2500 1
Pt1 Pt 0.0000 0.0000 0.5000 1
```

Values from the calculation:
* energy of formation: 507.9 meV per atom
* calculated density: 11.21 Mg/m³

=====

Record 2
This record from Alexandria describes a relaxed structure of TlPPt2. The functional is PBEsol.

Geometry as CIF:
```
data_TlPPt2
_chemical_formula_sum 'Tl2 P2 Pt4'
_symmetry_space_group_name_H-M 'C 1 m 1'
_symmetry_Int_Tables_number 8
_symmetry_space_group_name_Hall 'C -2y'
_cell_length_a 7.9727
_cell_length_b 3.3006
_cell_length_c 5.7999
_cell_angle_alpha 90.00
_cell_angle_beta 97.72
_cell_angle_gamma 90.00
loop_
_atom_site_label
_atom_site_type_symbol
_atom_site_fract_x
_atom_site_fract_y
_atom_site_fract_z
_atom_site_occupancy
Tl1 Tl 0.0000 0.0000 0.0000 1
P1 P 0.2129 0.0000 0.5545 1
Pt1 Pt 0.0078 0.5000 0.5809 1
Pt2 Pt 0.2511 0.5000 0.2799 1
```

Values from the calculation:
* energy of formation: -164.0 meV per atom
* calculated density: 13.74 Mg/m³
* relative energy among the computed polymorphs: 0 meV per atom